Record 1
VASP calculation (PBE) on crystalline PuGaAg2 at its relaxed geometry.

Unit cell a=6.1042 b=6.1042 c=6.1042 alpha=152.96 beta=65.62 gamma=121.48
Sites, in units of the cell vectors:
Pu 0.0000 0.0000 0.0000
Ga 0.5075 0.5075 0.0000
Ag 0.1049 0.8215 0.2834
Ag 0.5381 0.8215 0.7166

Summary:
energy above the lowest structure with this stoichiometry	151	meV per atom
final energy	-5.58	eV/atom
ΔH_f (0 K)	180	meV per atom
SG	Imm2 (44)

***

Record 2
VASP calculation (PBE) on crystalline CaAc3Mg8 at its relaxed geometry.

Unit cell a=6.3398 b=6.3398 c=10.3367 alpha=90.00 beta=90.00 gamma=120.00
Sites, in units of the cell vectors:
Ca 0.0000 0.0000 0.0000
Ac 0.0000 0.0000 0.3770
Ac 0.6667 0.3333 0.4934
Ac 0.6667 0.3333 0.8680
Mg 0.1653 0.3306 0.6863
Mg 0.1653 0.8347 0.6863
Mg 0.3333 0.6667 0.4311
Mg 0.3333 0.6667 0.9340
Mg 0.5015 0.0030 0.1820
Mg 0.5015 0.4985 0.1820
Mg 0.6694 0.8347 0.6863
Mg 0.9970 0.4985 0.1820

Summary:
final energy	-2.37	eV/atom
ΔH_f (0 K)	-109	meV per atom
SG	P3m1 (156)

***

Record 3
VASP calculation (PBE) on crystalline Li4NpSe4 at its relaxed geometry.

Unit cell a=7.4286 b=7.4286 c=7.4286 alpha=128.22 beta=128.22 gamma=76.26
Sites, in units of the cell vectors:
Li 0.0000 0.5000 0.5000
Li 0.2139 0.2139 0.0000
Li 0.5000 0.0000 0.5000
Li 0.7861 0.7861 0.0000
Np 0.5000 0.5000 0.0000
Se 0.1338 0.6165 0.0000
Se 0.3835 0.3835 0.5173
Se 0.6165 0.1338 0.0000
Se 0.8662 0.8662 0.4827

Summary:
final energy	-4.81	eV/atom
SG	I-42m (121)

***

Record 4
VASP calculation (PBE) on crystalline V2ZnCoH at its relaxed geometry.

Unit cell a=3.7739 b=3.7739 c=3.6970 alpha=90.00 beta=90.00 gamma=90.00
Sites, in units of the cell vectors:
V 0.0000 0.5000 0.0000
V 0.5000 0.0000 0.0000
Zn 0.0000 0.0000 0.5000
Co 0.5000 0.5000 0.5000
H 0.5000 0.5000 0.0000

Summary:
final energy	-6.06	eV/atom
SG	P4/mmm (123)

***

Record 5
VASP calculation (PBE) on crystalline YScSe3 at its relaxed geometry.

Unit cell a=4.8167 b=4.8167 c=6.8583 alpha=90.00 beta=90.00 gamma=90.00
Sites, in units of the cell vectors:
Y 0.0000 0.0000 0.0000
Sc 0.5000 0.5000 0.3868
Se 0.0000 0.0000 0.6100
Se 0.0000 0.5000 0.2033
Se 0.5000 0.0000 0.2033

Summary:
final energy	-5.92	eV/atom
SG	P4mm (99)

***

Record 6
VASP calculation (PBE) on crystalline DyGa2TeO8 at its relaxed geometry.

Unit cell a=5.8013 b=5.8013 c=5.8013 alpha=108.65 beta=108.65 gamma=111.13
Sites, in units of the cell vectors:
Dy 0.0000 0.0000 0.0000
Ga 0.5000 0.5000 0.0000
Ga 0.7500 0.2500 0.5000
Te 0.2500 0.7500 0.5000
O 0.3052 0.1044 0.7993
O 0.3052 0.5059 0.2007
O 0.3609 0.0343 0.3266
O 0.4941 0.6948 0.7993
O 0.7077 0.0343 0.6734
O 0.8956 0.6948 0.2007
O 0.9657 0.2923 0.3266
O 0.9657 0.6391 0.6734

Summary:
final energy	-6.00	eV/atom
SG	I-4m2 (119)

***

Record 7
VASP calculation (PBE) on crystalline TiTcBSb2 at its relaxed geometry.

Unit cell a=4.8202 b=4.8202 c=3.9542 alpha=90.00 beta=90.00 gamma=90.00
Sites, in units of the cell vectors:
Ti 0.0000 0.0000 0.0000
Tc 0.5000 0.5000 0.0000
B 0.5000 0.5000 0.5000
Sb 0.0000 0.5000 0.5000
Sb 0.5000 0.0000 0.5000

Summary:
final energy	-6.15	eV/atom
SG	P4/mmm (123)

***

Record 8
VASP calculation (PBE) on crystalline Cs4U3TlO12 at its relaxed geometry.

Unit cell a=7.7838 b=7.7838 c=7.7838 alpha=109.47 beta=109.47 gamma=109.47
Sites, in units of the cell vectors:
Cs 0.0000 0.0000 0.5000
Cs 0.0000 0.5000 0.0000
Cs 0.5000 0.0000 0.0000
Cs 0.5000 0.5000 0.5000
U 0.0000 0.5000 0.5000
U 0.5000 0.0000 0.5000
U 0.5000 0.5000 0.0000
Tl 0.0000 0.0000 0.0000
O 0.0000 0.2847 0.2847
O 0.0000 0.7153 0.7153
O 0.2500 0.5000 0.7500
O 0.2500 0.7500 0.5000
O 0.2847 0.0000 0.2847
O 0.2847 0.2847 0.0000
O 0.5000 0.2500 0.7500
O 0.5000 0.7500 0.2500
O 0.7153 0.0000 0.7153
O 0.7153 0.7153 0.0000
O 0.7500 0.2500 0.5000
O 0.7500 0.5000 0.2500

Summary:
final energy	-7.45	eV/atom
SG	Im-3m (229)

***

Q: Number 8 is which compound?
A: Cs4U3TlO12